CaYSbO after structural relaxation. Source: the Alexandria database, functional PBE.

Computed properties:
As for the theoretical density: 4.8 Mg/m³. Its formation energy from raw total energies is -2046 meV/atom. As for the symmetry: P4/nmm, No. 129.

Cell lengths 4.558, 4.558, 8.812 Å; angles 90.00, 90.00, 90.00 degrees
Fractional positions:
Ca1 0.250 0.250 0.161
Ca2 0.750 0.750 0.839
Y1 0.250 0.750 0.500
Y2 0.750 0.250 0.500
Sb1 0.250 0.250 0.790
Sb2 0.750 0.750 0.210
O1 0.250 0.250 0.429
O2 0.750 0.750 0.571

---

CaY2SbO6 after structural relaxation. Source: the Alexandria database, functional PBE.

Computed properties:
As for the theoretical density: 4.9 Mg/m³. Its formation energy from raw total energies is -2714 meV/atom. As for the symmetry: R3, No. 146.

Cell lengths 6.048, 6.048, 6.048 Å; angles 57.49, 57.49, 57.49 degrees
Fractional positions:
Ca1 0.000 0.000 0.000
Y1 0.276 0.276 0.276
Y2 0.781 0.781 0.781
Sb1 0.488 0.488 0.488
O1 0.114 0.666 0.399
O2 0.192 0.587 0.876
O3 0.399 0.114 0.666
O4 0.587 0.876 0.192
O5 0.666 0.399 0.114
O6 0.876 0.192 0.587